Entry 1:
The following is a DFT calculation (PBE-GGA) of ZrTe2Ru after structural relaxation.

a b c (Å): 7.8264 3.6815 6.3995
angles (deg): 90.00 105.21 90.00
Last column: nearest neighbours and their distance in Å.
Space group C2/m (No. 12)
Asymmetric unit:
Zr  0.0000  0.0000  0.0000 x2  6 Te 2.94-2.97
Te  0.2415  0.0000  0.7177 x4  3 Ru 2.74, 3 Zr 2.94-2.97
Ru  0.0000  0.5000  0.5000 x2  6 Te 2.74

DOS at the Fermi energy: 3.34 states/eV/f.u.
formation energy from raw total energies: -0.088 eV per atom
uncorrected energy: -48.92 eV per cell
distance to the lowest polymorph of the same formula: 1.52 eV per formula unit

=====

Entry 2:
The following is a DFT calculation (PBE-GGA) of ReBi after structural relaxation.

a b c (Å): 3.2902 4.1620 7.3633
angles (deg): 90.00 90.00 90.00
Last column: nearest neighbours and their distance in Å.
Space group Pmmn (No. 59, origin choice 2)
Asymmetric unit:
Re  0.2500  0.2500  0.0192 x2  4 Re 2.67, 4 Bi 2.86-2.93
Bi  0.2500  0.7500  0.2986 x2  4 Re 2.86-2.93

energy relative to the elements: 0.574 eV/atom
DOS at the Fermi energy: 1.19 states/eV/f.u.
uncorrected energy: -30.36 eV per cell
distance to the lowest polymorph of the same formula: 0.03 eV per formula unit

=====

Entry 3:
The following is a DFT calculation (PBE-GGA) of Sm6In2CO after structural relaxation.

a b c (Å): 9.9737 9.9737 9.9737
angles (deg): 90.00 90.00 90.00
Last column: nearest neighbours and their distance in Å.
Space group Fm-3m (No. 225)
Asymmetric unit:
Sm  0.0000  0.0000  0.2485 x24  1 C 2.48, 1 O 2.51
In  0.2500  0.2500  0.2500 x8  12 Sm 3.53
C  0.0000  0.0000  0.0000 x4  6 Sm 2.48
O  0.0000  0.0000  0.5000 x4  6 Sm 2.51

DOS at the Fermi energy: 4.19 states/eV/f.u.
formation energy from raw total energies: -0.946 eV per atom
uncorrected energy: -229.75 eV per cell

=====

Entry 4:
The following is a DFT calculation (PBE-GGA) of Ta2Nb3W2 after structural relaxation.

a b c (Å): 9.8242 4.5803 5.4900
angles (deg): 90.00 96.31 90.00
Last column: nearest neighbours and their distance in Å.
Space group C2/m (No. 12)
Asymmetric unit:
Ta  0.0749  0.0000  0.2890 x4  3 W 2.80-2.83, 4 Nb 2.84-2.92, 1 Ta 2.88
Nb  0.0000  0.5000  0.0000 x2  2 Nb 2.82, 4 Ta 2.84, 2 W 2.85
Nb  0.2160  0.0000  0.8471 x4  3 W 2.80-2.83, 3 Nb 2.82-2.87, 2 Ta 2.87-2.92
W  0.1393  0.5000  0.5716 x4  1 W 2.76, 3 Ta 2.80-2.83, 4 Nb 2.80-2.85

energy relative to the elements: -0.047 eV/atom
DOS at the Fermi energy: 8.78 states/eV/f.u.
uncorrected energy: -160.30 eV per cell
distance to the lowest polymorph of the same formula: 0.00 eV per formula unit

=====

Entry 5:
The following is a DFT calculation (PBE-GGA) of NaPmCd after structural relaxation.

a b c (Å): 4.9368 4.9368 29.2719
angles (deg): 90.00 90.00 120.00
Last column: nearest neighbours and their distance in Å.
Space group R-3m (No. 166, hexagonal axes)
Asymmetric unit:
Na  0.0000  0.0000  0.1976 x6  3 Na 3.38, 3 Pm 3.65, 1 Cd 3.71
Pm  0.0000  0.0000  0.0576 x6  6 Cd 3.18-3.45, 1 Pm 3.37
Cd  0.0000  0.0000  0.3243 x6  3 Cd 2.90, 3 Pm 3.18

energy relative to the elements: 0.066 eV/atom
DOS at the Fermi energy: 2.63 states/eV/f.u.
uncorrected energy: -40.71 eV per cell
distance to the lowest polymorph of the same formula: 0.27 eV per formula unit

=====

Entry 6:
The following is a DFT calculation (PBE-GGA) of CoNi2Os after structural relaxation.

a b c (Å): 2.5577 3.6801 5.0345
angles (deg): 90.00 90.00 90.00
Last column: nearest neighbours and their distance in Å.
Space group Pmmm (No. 47)
Asymmetric unit:
Co  0.0000  0.0000  0.0000 x1  2 Os 2.52, 2 Co 2.56, 8 Ni 2.57
Ni  0.5000  0.5000  0.2484 x2  4 Ni 2.50-2.56, 4 Co 2.57, 4 Os 2.57
Os  0.0000  0.0000  0.5000 x1  2 Co 2.52, 2 Os 2.56, 8 Ni 2.57

energy relative to the elements: 0.146 eV/atom
DOS at the Fermi energy: 6.56 states/eV/f.u.
uncorrected energy: -29.31 eV per cell
distance to the lowest polymorph of the same formula: 0.19 eV per formula unit